A relaxed structure of CoGeTeO, computed with GGA+U.

Summary:
For the total magnetization, the calculation gives 2.25 μB per formula unit. Its symmetry is No. 19. As for the excess energy over the best structure of this formula in the dataset: 101 meV/atom.

Cell lengths 4.651, 6.828, 10.297 Å; angles 90.00, 90.00, 90.00 degrees
Each line ends with the local moment (μB).
Fractional coordinates of all 16 atoms:
1 Ge 0.877 0.867 0.303  0.00
2 Ge 0.377 0.133 0.197  0.00
3 Ge 0.623 0.367 0.697  0.00
4 Ge 0.123 0.633 0.803  0.00
5 Co 0.547 0.911 0.706  2.14
6 Co 0.453 0.589 0.206  2.13
7 Co 0.047 0.089 0.794  2.12
8 Co 0.953 0.411 0.294  2.13
9 Te 0.536 0.136 0.921  0.02
10 Te 0.464 0.364 0.421  0.03
11 Te 0.964 0.636 0.079  0.03
12 Te 0.036 0.864 0.579  0.02
13 O 0.984 0.108 0.229  0.02
14 O 0.516 0.608 0.771  0.02
15 O 0.016 0.392 0.729  0.02
16 O 0.484 0.892 0.271  0.02